(1)
Entry from Alexandria: an optimized crystal structure of NaVFeSe3 (PBE).

Geometry as POSCAR:
```
NaVFeSe3
1.0
-3.192 1.191 -1.003
-2.618 -0.913 7.246
3.640 8.589 -1.384
Se Na V Fe
6 2 2 2
direct
0.750 0.445 0.122
0.250 0.087 0.857
0.750 0.264 0.547
0.750 0.913 0.143
0.250 0.555 0.878
0.250 0.736 0.453
0.250 0.259 0.275
0.750 0.741 0.725
0.750 0.297 0.823
0.250 0.703 0.177
0.750 0.918 0.396
0.250 0.082 0.604
```

Its symmetry is No. 11. As for the total energy: -5.60 eV/atom.



(2)
Entry from Alexandria: an optimized crystal structure of ScAlTe2 (PBE).

Geometry as POSCAR:
```
ScAlTe2
1.0
-3.338 -0.877 1.243
1.415 -0.693 3.313
-1.110 6.957 1.931
Te Al Sc
2 1 1
direct
0.000 0.000 0.518
0.000 0.000 0.982
0.500 0.500 0.250
0.500 0.500 0.750
```

Its symmetry is No. 123. As for the total energy: -4.55 eV/atom.



(3)
Entry from Alexandria: an optimized crystal structure of LaEr3Th (PBE).

Geometry as POSCAR:
```
LaEr3Th
1.0
5.876 0.000 1.406
2.938 5.209 0.703
-0.763 0.000 11.516
Er La Th
6 2 2
direct
0.240 0.000 0.756
0.908 0.668 0.759
0.092 0.332 0.241
0.760 0.000 0.244
0.424 0.668 0.241
0.576 0.332 0.759
0.337 0.326 0.500
0.663 0.674 0.500
0.836 0.327 0.000
0.164 0.673 0.000
```

The relative energy among the computed polymorphs is 0.208 eV/atom. Its symmetry is No. 12. The formation energy is 0.41 eV/atom.



(4)
Entry from Alexandria: an optimized crystal structure of Gd2TmRh (PBE).

Geometry as POSCAR:
```
Gd2TmRh
1.0
3.629 0.000 0.000
1.815 3.143 0.000
1.815 1.048 10.457
Tm Rh Gd
1 1 2
direct
0.000 0.000 0.000
0.500 0.500 0.500
0.109 0.109 0.673
0.891 0.891 0.327
```

The relative energy among the computed polymorphs is 0.240 eV/atom. Its symmetry is No. 166. The formation energy is -0.11 eV/atom.



(5)
Entry from Alexandria: an optimized crystal structure of BaB3P (PBE).

Geometry as POSCAR:
```
BaB3P
1.0
-0.879 -2.459 4.240
0.580 -4.329 -2.390
4.867 0.072 1.051
P B Ba
1 3 1
direct
0.500 0.500 0.500
0.000 0.500 0.000
0.000 0.000 0.500
0.500 0.000 0.000
0.000 0.000 0.000
```

The relative energy among the computed polymorphs is 1.974 eV/atom. Its symmetry is No. 221. The formation energy is 3.14 eV/atom.



(6)
Entry from Alexandria: an optimized crystal structure of Be2GeIr2 (PBE).

Geometry as POSCAR:
```
Be2GeIr2
1.0
-2.644 -4.575 -3.986
4.321 1.632 -4.740
1.860 -1.963 1.019
Ge Be Ir
2 4 4
direct
0.000 0.000 0.000
0.500 0.500 0.000
0.370 0.130 0.500
0.130 0.630 0.500
0.870 0.370 0.500
0.630 0.870 0.500
0.838 0.662 0.000
0.338 0.838 0.000
0.162 0.338 0.000
0.662 0.162 0.000
```

The relative energy among the computed polymorphs is 0.039 eV/atom. Its symmetry is No. 127. The formation energy is -0.29 eV/atom.